DFT (PBE-GGA) results for crystalline La2Hg2Au at its relaxed geometry.

Lattice parameters (Å, degrees): 7.907 7.907 4.501 90.00 90.00 90.00
Space group P4/mbm (No. 127)
One atom of each set of equivalent atoms:
La: 0.170 0.330 0.000
Hg: 0.133 0.633 0.500
Au: 0.000 0.000 0.500

Energy relative to the elements: -0.46 eV per atom



DFT (PBE-GGA) results for crystalline La2HgAu at its relaxed geometry.

Lattice parameters (Å, degrees): 3.852 3.852 7.674 90.00 90.00 90.00
Space group P4/mmm (No. 123)
One atom of each set of equivalent atoms:
La: 0.000 0.000 0.236
Hg: 0.500 0.500 0.500
Au: 0.500 0.500 0.000

Energy relative to the elements: -0.64 eV per atom



DFT (PBE-GGA) results for crystalline La4HgAu2 at its relaxed geometry.

Lattice parameters (Å, degrees): 5.1558 5.1558 29.4789 90.00 90.00 120.00
Space group R-3m (No. 166, hexagonal axes)
One atom of each set of equivalent atoms:
La: 0.0000 0.0000 0.1205
La: 0.0000 0.0000 0.2930
Hg: 0.0000 0.0000 0.5000
Au: 0.0000 0.0000 0.3973

Energy relative to the elements: -0.45 eV per atom



DFT (PBE-GGA) results for crystalline LaHgAu at its relaxed geometry.

Lattice parameters (Å, degrees): 9.617 4.134 8.043 90.00 90.26 90.00
Space group C2/m (No. 12)
One atom of each set of equivalent atoms:
La: 0.058 0.000 0.229
Hg: 0.149 0.500 0.562
Au: 0.148 0.500 0.944

Energy relative to the elements: -0.63 eV per atom



DFT (PBE-GGA) results for crystalline La2HgAu2 at its relaxed geometry.

Lattice parameters (Å, degrees): 5.707 5.707 9.191 90.00 90.00 90.00
Space group I4/mmm (No. 139)
One atom of each set of equivalent atoms:
La: 0.000 0.500 0.250
Hg: 0.000 0.000 0.000
Au: 0.000 0.000 0.357

Energy relative to the elements: -0.55 eV per atom



DFT (PBE-GGA) results for crystalline La2HgAu at its relaxed geometry.

Lattice parameters (Å, degrees): 5.427 3.831 10.909 90.00 90.00 90.00
Space group Pmma (No. 51)
One atom of each set of equivalent atoms:
La: 0.250 0.000 0.120
La: 0.250 0.000 0.643
Hg: 0.250 0.500 0.392
Au: 0.250 0.500 0.881

Energy relative to the elements: -0.64 eV per atom



DFT (PBE-GGA) results for crystalline La3Hg3Au2 at its relaxed geometry.

Lattice parameters (Å, degrees): 7.9946 7.9946 3.9751 90.00 90.00 120.00
Space group P-62m (No. 189)
One atom of each set of equivalent atoms:
La: 0.0000 0.5952 0.0000
Hg: 0.0000 0.2327 0.5000
Au: 0.3333 0.6667 0.5000

Energy relative to the elements: -0.64 eV per atom



DFT (PBE-GGA) results for crystalline LaHgAu at its relaxed geometry.

Lattice parameters (Å, degrees): 9.956 5.361 6.013 90.00 99.93 90.00
Space group C2/m (No. 12)
One atom of each set of equivalent atoms:
La: 0.131 0.000 0.282
Hg: 0.056 0.500 0.777
Au: 0.206 0.000 0.787

Energy relative to the elements: -0.58 eV per atom



DFT (PBE-GGA) results for crystalline La4HgAu at its relaxed geometry.

Lattice parameters (Å, degrees): 7.558 8.012 7.152 90.00 95.12 90.00
Space group P2_1/c (No. 14)
One atom of each set of equivalent atoms:
La: 0.153 0.152 0.394
La: 0.339 0.665 0.328
Hg: 0.000 0.000 0.000
Au: 0.500 0.000 0.500

Energy relative to the elements: -0.27 eV per atom



DFT (PBE-GGA) results for crystalline La3Hg3Au at its relaxed geometry.

Lattice parameters (Å, degrees): 10.498 10.203 7.755 90.00 90.03 90.00
Space group C2/m (No. 12)
One atom of each set of equivalent atoms:
La: 0.000 0.000 0.247
La: 0.250 0.247 0.239
Hg: 0.000 0.280 0.500
Hg: 0.000 0.347 0.000
Hg: 0.216 0.500 0.495
Au: 0.237 0.000 0.996

Energy relative to the elements: -0.43 eV per atom



DFT (PBE-GGA) results for crystalline LaHg4Au at its relaxed geometry.

Lattice parameters (Å, degrees): 8.465 8.465 8.465 90.00 90.00 90.00
Space group F-43m (No. 216)
One atom of each set of equivalent atoms:
La: 0.000 0.000 0.000
Hg: 0.124 0.124 0.376
Au: 0.250 0.250 0.750

Energy relative to the elements: -0.15 eV per atom



DFT (PBE-GGA) results for crystalline La2Hg3Au3 at its relaxed geometry.

Lattice parameters (Å, degrees): 5.1930 5.1930 25.0067 90.00 90.00 120.00
Space group R3m (No. 160, hexagonal axes)
One atom of each set of equivalent atoms:
La: 0.0000 0.0000 0.0000
La: 0.0000 0.0000 0.4901
Hg: 0.0000 0.0000 0.2428
Hg: 0.0000 0.0000 0.6189
Hg: 0.0000 0.0000 0.7474
Au: 0.0000 0.0000 0.1235
Au: 0.0000 0.0000 0.3648
Au: 0.0000 0.0000 0.8725

Energy relative to the elements: -0.57 eV per atom